Entry 1:
DFT (PBE-GGA) results for a relaxed structure of PrPuTe2.

Total energy, eV/atom: -7.61
ΔE_f (raw), eV/atom: -1.26
Space group: P6_3/mmc, No. 194

Geometry as POSCAR:
```
PrPuTe2
1.0
-2.6059 3.4325 -0.9068
-1.7077 -3.6550 1.7663
2.4799 5.5497 13.8814
Pr Pu Te
2 2 4
direct
0.6667 0.3333 0.2500
0.3333 0.6667 0.7500
0.0000 0.0000 0.5000
0.0000 0.0000 0.0000
0.3333 0.6667 0.3806
0.6667 0.3333 0.8806
0.6667 0.3333 0.6194
0.3333 0.6667 0.1194
```

---

Entry 2:
DFT (PBE-GGA) results for a relaxed structure of Pr5PuTe6.

Total energy, eV/atom: -6.15
ΔE_f (raw), eV/atom: -1.39
Space group: C2/m, No. 12

Geometry as POSCAR:
```
Pr5PuTe6
1.0
-7.0040 -3.4388 0.8268
-0.5241 -3.1174 7.1369
-2.8325 4.2405 5.9128
Pr Te Pu
5 6 1
direct
0.5000 0.1718 0.6564
0.0000 0.3329 0.3343
0.5000 0.5000 0.0000
0.0000 0.6671 0.6657
0.5000 0.8282 0.3436
0.7540 0.0821 0.3268
0.2460 0.5911 0.3268
0.2494 0.2440 0.0000
0.7506 0.7560 0.0000
0.7540 0.4089 0.6732
0.2460 0.9179 0.6732
0.0000 0.0000 0.0000
```

---

Entry 3:
DFT (PBE-GGA) results for a relaxed structure of PrPuTe2.

Total energy, eV/atom: -7.50
ΔE_f (raw), eV/atom: -1.15
Space group: P4/mmm, No. 123

Geometry as POSCAR:
```
PrPuTe2
1.0
-0.0243 -3.3719 1.8640
2.6989 -1.3452 -2.3982
5.5303 2.5957 4.7678
Pr Te Pu
1 2 1
direct
0.5000 0.5000 0.5000
0.0000 0.0000 0.7543
0.0000 0.0000 0.2457
0.5000 0.5000 0.0000
```

---

Entry 4:
DFT (PBE-GGA) results for a relaxed structure of Pr5Pu3Te8.

Total energy, eV/atom: -7.08
ΔE_f (raw), eV/atom: -1.33
Space group: R-3m, No. 166

Geometry as POSCAR:
```
Pr5Pu3Te8
1.0
-5.0004 -2.0290 -7.1535
-8.7608 -1.6133 0.9693
-6.0218 5.9575 -3.0926
Pr Pu Te
5 3 8
direct
0.5000 0.0000 0.0000
0.5000 0.5000 0.0000
0.0000 0.0000 0.0000
0.0000 0.5000 0.0000
0.5000 0.5000 0.5000
0.5000 0.0000 0.5000
0.0000 0.0000 0.5000
0.0000 0.5000 0.5000
0.2500 0.2500 0.7444
0.2500 0.7557 0.7444
0.7557 0.2500 0.7444
0.7528 0.7528 0.7416
0.7500 0.7500 0.2556
0.7500 0.2443 0.2556
0.2443 0.7500 0.2556
0.2472 0.2472 0.2584
```

---

Entry 5:
DFT (PBE-GGA) results for a relaxed structure of PrPuTe2.

Total energy, eV/atom: -7.48
ΔE_f (raw), eV/atom: -1.14
Space group: Fm-3m, No. 225

Geometry as POSCAR:
```
PrPuTe2
1.0
-0.3276 -3.7255 -4.0028
-3.5949 -4.1162 0.3768
-4.3848 -0.1161 -3.2816
Pr Te Pu
1 2 1
direct
0.5000 0.5000 0.5000
0.2500 0.2500 0.2500
0.7500 0.7500 0.7500
0.0000 0.0000 0.0000
```

---

Entry 6:
DFT (PBE-GGA) results for a relaxed structure of Pr2PuTe3.

Total energy, eV/atom: -6.90
ΔE_f (raw), eV/atom: -1.34
Space group: Immm, No. 71

Geometry as POSCAR:
```
Pr2PuTe3
1.0
4.4843 0.0000 0.0000
0.0000 6.3550 0.0000
-2.2421 -3.1775 6.7734
Pr Pu Te
2 1 3
direct
0.8296 0.8296 0.1592
0.1704 0.1704 0.8408
0.5000 0.5000 0.5000
0.8393 0.3393 0.1785
0.1607 0.6607 0.8215
0.5000 0.0000 0.5000
```

---

Entry 7:
DFT (PBE-GGA) results for a relaxed structure of PrPuTe2.

Total energy, eV/atom: -7.63
ΔE_f (raw), eV/atom: -1.28
Space group: R-3m, No. 166

Geometry as POSCAR:
```
PrPuTe2
1.0
-4.3032 -0.3946 -1.1197
-1.2463 -3.0164 -3.0454
-2.7806 -6.1458 3.9536
Pr Te Pu
1 2 1
direct
0.5000 0.5000 0.5000
0.7472 0.7472 0.7584
0.2528 0.2528 0.2416
0.0000 0.0000 0.0000
```

---

Entry 8:
DFT (PBE-GGA) results for a relaxed structure of Pr4Pu3Te8.

Total energy, eV/atom: -7.14
ΔE_f (raw), eV/atom: -1.32
Space group: C2/m, No. 12

Geometry as POSCAR:
```
Pr4Pu3Te8
1.0
7.8649 -0.1718 -4.3129
-5.0718 7.3726 -0.2322
-0.1955 0.1359 8.9485
Pr Pu Te
4 3 8
direct
0.5000 0.0000 0.0000
0.0000 0.5000 0.0000
0.0000 0.0000 0.0000
0.0000 0.0000 0.5000
0.5000 0.5000 0.0000
0.5000 0.0000 0.5000
0.5000 0.5000 0.5000
0.5101 0.2575 0.2575
0.0000 0.7443 0.2557
0.0039 0.2584 0.2584
0.5000 0.7471 0.2529
0.5000 0.2529 0.7471
0.9961 0.7416 0.7416
0.0000 0.2557 0.7443
0.4899 0.7425 0.7425
```

---

Entry 9:
DFT (PBE-GGA) results for a relaxed structure of Pr3Pu5Te8.

Total energy, eV/atom: -8.17
ΔE_f (raw), eV/atom: -1.22
Space group: R-3m, No. 166

Geometry as POSCAR:
```
Pr3Pu5Te8
1.0
-5.1370 -2.4212 6.8976
3.2840 0.2113 8.3066
-2.9000 6.1753 5.7946
Pr Pu Te
3 5 8
direct
0.5000 0.0000 0.5000
0.0000 0.0000 0.5000
0.0000 0.5000 0.5000
0.5000 0.0000 0.0000
0.5000 0.5000 0.0000
0.0000 0.0000 0.0000
0.0000 0.5000 0.0000
0.5000 0.5000 0.5000
0.2500 0.2500 0.7548
0.2500 0.7451 0.7548
0.7451 0.2500 0.7548
0.7469 0.7469 0.7594
0.7500 0.7500 0.2452
0.7500 0.2549 0.2452
0.2549 0.7500 0.2452
0.2531 0.2531 0.2406
```

---

Entry 10:
DFT (PBE-GGA) results for a relaxed structure of Pr4PuTe7.

Total energy, eV/atom: -5.98
ΔE_f (raw), eV/atom: -1.36
Space group: Cm, No. 8

Geometry as POSCAR:
```
Pr4PuTe7
1.0
4.4004 0.0000 0.0000
-2.2002 7.1307 -1.9006
0.0000 0.0376 13.5460
Pr Pu Te
4 1 7
direct
0.6976 0.3951 0.8063
0.3026 0.6051 0.1932
0.0000 0.0001 0.9983
0.1173 0.2347 0.4279
0.8817 0.7634 0.5741
0.7395 0.4789 0.3486
0.2650 0.5301 0.6532
0.3375 0.6751 0.9523
0.6624 0.3247 0.0482
0.0364 0.0729 0.7807
0.9637 0.9273 0.2168
0.4963 0.9926 0.5003
```

---

Entry 11:
DFT (PBE-GGA) results for a relaxed structure of PrPu3Te6.

Total energy, eV/atom: -7.75
ΔE_f (raw), eV/atom: -1.08
Space group: P2_1/m, No. 11

Geometry as POSCAR:
```
PrPu3Te6
1.0
-0.4858 -4.3341 0.7963
11.3069 -0.2868 5.3366
-8.9022 2.6689 9.0948
Pr Pu Te
2 6 12
direct
0.7500 0.0470 0.6966
0.2500 0.9530 0.3034
0.7500 0.4357 0.8336
0.2500 0.5643 0.1664
0.7500 0.6808 0.4975
0.2500 0.3192 0.5025
0.7500 0.1534 0.0805
0.2500 0.8466 0.9195
0.7500 0.4892 0.6188
0.2500 0.5108 0.3812
0.7500 0.9133 0.0977
0.2500 0.0867 0.9023
0.7500 0.3923 0.0568
0.2500 0.6077 0.9432
0.7500 0.7427 0.2760
0.2500 0.2573 0.7240
0.7500 0.1158 0.4661
0.2500 0.8842 0.5339
0.7500 0.8068 0.7500
0.2500 0.1932 0.2500
```